Record 1
K4InIr | PBE | relaxed

Cell and atoms, written as POSCAR:
```
K4InIr
1.0
0.0000 4.6556 4.6556
4.6556 0.0000 4.6556
4.6556 4.6556 0.0000
K In Ir
4 1 1
Cartesian
3.5071 3.5071 3.5071 K
5.8042 5.8042 3.5071 K
5.8042 3.5071 5.8042 K
3.5071 5.8042 5.8042 K
0.0000 0.0000 0.0000 In
6.9835 6.9835 6.9835 Ir
```

Computed properties:
The density comes out at 3.813 Mg/m³. The value obtained for the electronic total energy is -10.8 eV/f.u. The space-group type is F-43m.


Record 2
KIn3Ir | PBE | relaxed

Cell and atoms, written as POSCAR:
```
KIn3Ir
1.0
9.3840 0.0000 0.0000
0.0000 6.1759 0.0000
-3.7945 0.0000 9.4799
K In Ir
4 12 4
Cartesian
0.0626 0.1130 1.9022 K
-1.8346 2.9749 6.6422 K
7.4242 3.2010 2.8378 K
5.5269 6.0629 7.5777 K
1.4371 3.2611 0.6368 In
-0.4601 6.0028 5.3768 In
1.4063 3.4794 3.9596 In
-0.4910 5.7844 8.6996 In
3.2248 0.9715 2.6239 In
1.3276 2.1164 7.3639 In
4.2620 4.0595 2.1160 In
2.3647 5.2044 6.8560 In
6.0805 0.3915 0.7804 In
4.1833 2.6965 5.5204 In
6.0497 0.1731 4.1032 In
4.1524 2.9149 8.8431 In
1.9517 1.0167 5.0499 Ir
3.8489 2.0712 0.3099 Ir
1.7406 4.1047 9.1701 Ir
3.6379 5.1592 4.4301 Ir
```

Computed properties:
The density comes out at 6.961 Mg/m³. For the relative energy among the computed polymorphs, the calculation gives 0.069 eV/atom. The space-group type is P2_1/c.


Record 3
KIn3Ir | PBE | relaxed

Cell and atoms, written as POSCAR:
```
KIn3Ir
1.0
7.0396 -2.4033 0.0000
7.0396 2.4033 0.0000
-2.3810 0.0000 7.6322
K In Ir
2 6 2
Cartesian
2.1546 0.0000 0.0145 K
9.5435 0.0000 7.6178 K
-0.0487 0.0000 2.6263 In
2.3358 0.0000 4.9195 In
4.6596 0.0000 2.6834 In
7.0385 0.0000 4.9488 In
9.3624 0.0000 2.7127 In
11.7468 0.0000 5.0059 In
4.6367 0.0000 6.3960 Ir
7.0615 0.0000 1.2362 Ir
```

Computed properties:
The density comes out at 7.404 Mg/m³. For the relative energy among the computed polymorphs, the calculation gives 0.156 eV/atom. The space-group type is C2/m.


Record 4
KIn3Ir | PBE | relaxed

Cell and atoms, written as POSCAR:
```
KIn3Ir
1.0
4.0781 0.0000 0.0000
0.0000 4.0781 0.0000
0.0000 0.0000 8.9743
K In Ir
1 3 1
Cartesian
0.0000 0.0000 0.0000 K
0.0000 0.0000 5.6151 In
0.0000 2.0391 3.0415 In
2.0391 0.0000 3.0415 In
2.0391 2.0391 5.0613 Ir
```

Computed properties:
The density comes out at 6.406 Mg/m³. For the relative energy among the computed polymorphs, the calculation gives 0.305 eV/atom. The space-group type is P4mm.


Record 5
KIn3Ir | PBE | relaxed

Cell and atoms, written as POSCAR:
```
KIn3Ir
1.0
7.0750 -2.2183 0.0000
7.0750 2.2183 0.0000
-4.8004 0.0000 9.1173
K In Ir
2 6 2
Cartesian
0.0000 0.0000 0.0000 K
-1.0390 0.0000 7.5514 K
-0.8706 0.0000 3.9179 In
2.0421 0.0000 3.1083 In
4.9670 0.0000 2.1665 In
3.9156 0.0000 5.5612 In
9.9312 0.0000 1.1350 In
8.2593 0.0000 5.5673 In
7.6032 0.0000 2.8773 Ir
10.5972 0.0000 3.9372 Ir
```

Computed properties:
The density comes out at 6.682 Mg/m³. For the relative energy among the computed polymorphs, the calculation gives 0.064 eV/atom. The space-group type is Cm.


Record 6
KIn2Ir | PBE | relaxed

Cell and atoms, written as POSCAR:
```
KIn2Ir
1.0
3.1345 0.0000 0.0000
0.0000 3.5662 0.0000
-0.0096 0.0000 8.7595
K In Ir
1 2 1
Cartesian
0.0000 0.0000 0.0000 K
1.5615 1.7831 2.7800 In
1.5633 1.7831 5.9796 In
-0.0048 0.0000 4.3798 Ir
```

Computed properties:
The density comes out at 7.817 Mg/m³. For the relative energy among the computed polymorphs, the calculation gives 0.007 eV/atom. The space-group type is P2/m.


Record 7
K2InIr | PBE | relaxed

Cell and atoms, written as POSCAR:
```
K2InIr
1.0
3.6212 0.0000 0.0000
0.0000 5.3158 0.0000
0.0000 0.0000 5.6073
K In Ir
2 1 1
Cartesian
0.0000 0.0000 1.3474 K
0.0000 0.0000 4.2599 K
1.8106 2.6579 2.8037 In
1.8106 2.6579 0.0000 Ir
```

Computed properties:
The density comes out at 5.926 Mg/m³. The value obtained for the electronic total energy is -11.5 eV/f.u. The space-group type is Pmmm.


Record 8
K2In2Ir | PBE | relaxed

Cell and atoms, written as POSCAR:
```
K2In2Ir
1.0
7.2017 0.0000 0.0000
0.0000 7.2017 0.0000
0.0000 0.0000 6.1414
K In Ir
4 4 2
Cartesian
1.2617 2.3391 0.0000 K
2.3391 5.9399 0.0000 K
4.8625 1.2617 0.0000 K
5.9399 4.8625 0.0000 K
1.3200 4.9208 3.0707 In
2.2808 1.3200 3.0707 In
4.9208 5.8817 3.0707 In
5.8817 2.2808 3.0707 In
0.0000 0.0000 3.0707 Ir
3.6008 3.6008 3.0707 Ir
```

Computed properties:
The density comes out at 5.214 Mg/m³. For the relative energy among the computed polymorphs, the calculation gives 0.000 eV/atom. The space-group type is P4/mbm.


Record 9
KIn3Ir | PBE | relaxed

Cell and atoms, written as POSCAR:
```
KIn3Ir
1.0
6.2870 -4.8959 0.0000
6.2870 4.8959 0.0000
-1.0085 0.0000 8.1717
K In Ir
4 12 4
Cartesian
5.5307 4.1527 6.1288 K
6.0349 2.4264 2.0429 K
5.5307 -2.4264 6.1288 K
6.0349 -4.1527 2.0429 K
2.9952 1.6381 1.3119 In
1.9324 1.0946 4.4515 In
2.4367 -1.0946 0.3656 In
4.9341 0.9895 4.8035 In
2.4909 -1.6381 5.3978 In
6.1273 0.9895 7.4541 In
5.4383 -0.9895 0.7176 In
9.0747 1.6381 2.7740 In
6.6315 -0.9895 3.3683 In
9.1289 1.0946 7.8061 In
9.6332 -1.0946 3.7202 In
8.5705 -1.6381 6.8598 In
3.2177 0.6730 7.0235 Ir
3.7219 -0.6730 2.9377 Ir
7.8437 0.6730 5.2341 Ir
8.3479 -0.6730 1.1482 Ir
```

Computed properties:
The density comes out at 7.602 Mg/m³. For the relative energy among the computed polymorphs, the calculation gives 0.145 eV/atom. The space-group type is C2/c.


Record 10
K3InIr | PBE | relaxed

Cell and atoms, written as POSCAR:
```
K3InIr
1.0
6.1068 0.0000 0.0000
0.0000 6.1068 0.0000
0.0000 0.0000 6.1068
K In Ir
3 1 1
Cartesian
0.0000 0.0000 3.0534 K
0.0000 3.0534 0.0000 K
3.0534 0.0000 0.0000 K
3.0534 3.0534 3.0534 In
0.0000 0.0000 0.0000 Ir
```

Computed properties:
The density comes out at 3.094 Mg/m³. The value obtained for the electronic total energy is -10.9 eV/f.u. The space-group type is Pm-3m.


Record 11
K2InIr | PBE | relaxed

Cell and atoms, written as POSCAR:
```
K2InIr
1.0
4.2477 0.0000 0.0000
0.0000 4.2477 0.0000
0.0000 0.0000 5.5431
K In Ir
2 1 1
Cartesian
0.0000 2.1239 0.0000 K
2.1239 0.0000 0.0000 K
0.0000 0.0000 2.7716 In
2.1239 2.1239 2.7716 Ir
```

Computed properties:
The density comes out at 6.396 Mg/m³. The value obtained for the electronic total energy is -11.7 eV/f.u. The space-group type is P4/mmm.


Record 12
KIn3Ir | PBE | relaxed

Cell and atoms, written as POSCAR:
```
KIn3Ir
1.0
-3.1067 3.1067 8.4779
3.1067 -3.1067 8.4779
3.1067 3.1067 -8.4779
K In Ir
2 6 2
Cartesian
0.0000 0.0000 3.0497 K
0.0000 0.0000 13.9061 K
3.1067 0.0000 0.8608 In
3.1067 1.5530 -2.1409 In
3.1067 0.0000 7.6170 In
0.0000 1.5537 6.3370 In
1.5530 3.1067 2.1409 In
1.5537 0.0000 10.6188 In
0.0000 0.0000 8.4779 Ir
0.0000 3.1067 4.2389 Ir
```

Computed properties:
The density comes out at 5.842 Mg/m³. For the relative energy among the computed polymorphs, the calculation gives 0.268 eV/atom. The space-group type is I-4m2.


Record 13
K2InIr | PBE | relaxed

Cell and atoms, written as POSCAR:
```
K2InIr
1.0
3.3026 0.0000 0.0000
0.0000 4.2349 0.0000
-0.0034 0.0000 10.0115
K In Ir
2 1 1
Cartesian
0.0000 0.0000 0.0000 K
1.6067 2.1175 5.8882 K
3.2587 2.1175 2.8343 In
1.6085 0.0000 3.0087 Ir
```

Computed properties:
The density comes out at 4.568 Mg/m³. The value obtained for the electronic total energy is -13.1 eV/f.u. The space-group type is Pm.